*A*
DFT (PBE-GGA) results for crystalline CrInS3 at its relaxed geometry.

* magnetization: 0.600 μB/atom

Lattice parameters (Å, degrees): 3.7187 6.4596 10.7983 117.23 90.00 90.00
Each line ends with the local moment (μB).
Fractional coordinates of all 10 atoms:
Cr 0.2500 0.1248 0.1604  2.90
Cr 0.7500 0.8752 0.8396  2.90
In 0.2500 0.2465 0.7324  0.04
In 0.7500 0.7535 0.2676  0.04
S 0.2500 0.1512 0.9456  -0.09
S 0.7500 0.8488 0.0544  -0.09
S 0.2500 0.0369 0.3584  -0.03
S 0.7500 0.9631 0.6416  -0.03
S 0.2500 0.6153 0.7257  -0.04
S 0.7500 0.3847 0.2743  -0.04

*B*
DFT (PBE-GGA) results for crystalline CrInS3 at its relaxed geometry.

* magnetization: 0.600 μB/atom

Lattice parameters (Å, degrees): 3.7622 6.1880 9.6109 90.00 101.29 90.00
Each line ends with the local moment (μB).
Fractional coordinates of all 10 atoms:
Cr 0.3235 0.5107 0.6469  2.92
Cr 0.6765 0.0107 0.3531  2.92
In 0.8756 0.9615 0.7512  0.04
In 0.1244 0.4615 0.2488  0.04
S 0.8861 0.3527 0.7721  -0.07
S 0.1139 0.8527 0.2279  -0.07
S 0.5739 0.2541 0.1477  -0.04
S 0.4261 0.7541 0.8523  -0.04
S 0.7657 0.7151 0.5314  -0.07
S 0.2343 0.2151 0.4686  -0.07

*C*
DFT (PBE-GGA) results for crystalline CrInS3 at its relaxed geometry.

* magnetization: 0.000 μB/atom
* DOS(E_F): 1.237 states/eV/atom

Lattice parameters (Å, degrees): 4.5666 4.5666 4.5666 90.00 90.00 90.00
Fractional coordinates of all 5 atoms:
Cr 0.0000 0.0000 0.0000
S 0.0000 0.5000 0.0000
S 0.0000 0.0000 0.5000
S 0.5000 0.0000 0.0000
In 0.5000 0.5000 0.5000

It comes down to *B*, which is 0.005 eV/atom more stable than the next structure.

*A*
DFT (PBE-GGA) results for crystalline Sr2CrInSb at its relaxed geometry.

* magnetization: 0.990 μB/atom
* DOS(E_F): 0.673 states/eV/atom

Lattice parameters (Å, degrees): 6.3333 5.4321 6.3333 90.00 90.00 90.00
Each line ends with the local moment (μB).
Fractional coordinates of all 5 atoms:
Sb 0.0000 0.5000 0.0000  0.00
Cr 0.5000 0.5000 0.5000  4.24
Sr 0.0000 0.0000 0.5000  0.00
Sr 0.5000 0.0000 0.0000  -0.01
In 0.0000 0.0000 0.0000  -0.01

*B*
DFT (PBE-GGA) results for crystalline Sr2CrInSb at its relaxed geometry.

* magnetization: 0.881 μB/atom
* DOS(E_F): 0.604 states/eV/atom

Lattice parameters (Å, degrees): 5.9030 5.1468 5.9030 90.00 90.00 90.00
Each line ends with the local moment (μB).
Fractional coordinates of all 5 atoms:
Sb 0.5000 0.5000 0.5000  0.09
Cr 0.0000 0.0000 0.0000  3.70
Sr 0.0000 0.0000 0.5000  0.04
Sr 0.5000 0.0000 0.0000  0.04
In 0.0000 0.5000 0.0000  -0.02

It comes down to *B*, which is 0.327 eV/atom more stable than the next structure.

*A*
DFT (PBE-GGA) results for crystalline CrInSb2Te at its relaxed geometry.

* magnetization: 0.347 μB/atom
* DOS(E_F): 0.611 states/eV/atom

Lattice parameters (Å, degrees): 4.9479 4.9479 5.5279 90.00 90.00 90.00
Each line ends with the local moment (μB).
Fractional coordinates of all 5 atoms:
Sb 0.0000 0.5000 0.0000  -0.12
Sb 0.5000 0.0000 0.0000  -0.12
Te 0.0000 0.0000 0.5000  -0.01
Cr 0.0000 0.0000 0.0000  2.06
In 0.5000 0.5000 0.5000  0.00

*B*
DFT (PBE-GGA) results for crystalline CrInSb2Te at its relaxed geometry.

* magnetization: 0.791 μB/atom
* DOS(E_F): 1.082 states/eV/atom

Lattice parameters (Å, degrees): 5.5670 5.5670 5.7066 90.00 90.00 90.00
Each line ends with the local moment (μB).
Fractional coordinates of all 5 atoms:
Sb 0.0000 0.5000 0.0000  -0.17
Sb 0.5000 0.0000 0.0000  -0.17
Te 0.0000 0.0000 0.5000  -0.10
Cr 0.5000 0.5000 0.5000  4.22
In 0.0000 0.0000 0.0000  0.01

It comes down to *A*, which is 0.709 eV/atom more stable than the next structure.

*A*
DFT (PBE-GGA) results for crystalline ScCrIn3 at its relaxed geometry.

* magnetization: 0.807 μB/atom
* DOS(E_F): 1.532 states/eV/atom

Lattice parameters (Å, degrees): 5.5105 5.5105 5.5105 90.00 90.00 90.00
Each line ends with the local moment (μB).
Fractional coordinates of all 5 atoms:
Sc 0.0000 0.0000 0.0000  -0.41
Cr 0.5000 0.5000 0.5000  4.23
In 0.0000 0.5000 0.0000  -0.09
In 0.0000 0.0000 0.5000  -0.04
In 0.5000 0.0000 0.0000  -0.07

*B*
DFT (PBE-GGA) results for crystalline ScCrIn3 at its relaxed geometry.

* magnetization: 0.000 μB/atom
* DOS(E_F): 1.189 states/eV/atom

Lattice parameters (Å, degrees): 5.0006 5.0006 5.0006 90.00 90.00 90.00
Fractional coordinates of all 5 atoms:
Sc 0.5000 0.5000 0.5000
Cr 0.0000 0.0000 0.0000
In 0.0000 0.5000 0.0000
In 0.0000 0.0000 0.5000
In 0.5000 0.0000 0.0000

It comes down to *B*, which is 0.448 eV/atom more stable than the next structure.

*A*
DFT (PBE-GGA) results for crystalline CrIn3Se at its relaxed geometry.

* magnetization: 0.977 μB/atom
* DOS(E_F): 0.413 states/eV/atom

Lattice parameters (Å, degrees): 5.4692 5.4692 5.4692 90.00 90.00 90.00
Each line ends with the local moment (μB).
Fractional coordinates of all 5 atoms:
Cr 0.5000 0.5000 0.5000  -4.19
Se 0.0000 0.0000 0.0000  -0.01
In 0.0000 0.5000 0.0000  0.01
In 0.0000 0.0000 0.5000  -0.01
In 0.5000 0.0000 0.0000  0.01

*B*
DFT (PBE-GGA) results for crystalline CrIn3Se at its relaxed geometry.

* magnetization: 0.987 μB/atom
* DOS(E_F): 0.241 states/eV/atom

Lattice parameters (Å, degrees): 5.2678 5.2678 5.2678 90.00 90.00 90.00
Each line ends with the local moment (μB).
Fractional coordinates of all 5 atoms:
Cr 0.0000 0.0000 0.0000  3.47
Se 0.5000 0.5000 0.5000  0.35
In 0.0000 0.5000 0.0000  0.08
In 0.0000 0.0000 0.5000  0.12
In 0.5000 0.0000 0.0000  0.01

It comes down to *B*, which is 0.349 eV/atom more stable than the next structure.

*A*
DFT (PBE-GGA) results for crystalline Cr2InSe at its relaxed geometry.

* magnetization: 1.857 μB/atom
* DOS(E_F): 0.759 states/eV/atom

Lattice parameters (Å, degrees): 5.3002 5.3002 5.3002 142.47 118.48 74.35
Each line ends with the local moment (μB).
Fractional coordinates of all 4 atoms:
Cr 0.0256 0.0256 0.0000  3.45
Cr 0.4744 0.4744 0.0000  3.45
In 0.7500 0.2500 0.5000  -0.10
Se 0.2500 0.7500 0.5000  -0.03

*B*
DFT (PBE-GGA) results for crystalline Cr2InSe at its relaxed geometry.

* magnetization: 1.839 μB/atom
* DOS(E_F): 0.741 states/eV/atom

Lattice parameters (Å, degrees): 3.2138 3.1854 7.8636 65.96 90.00 90.00
Each line ends with the local moment (μB).
Fractional coordinates of all 4 atoms:
Cr 0.0000 0.0279 0.9716  3.50
Cr 0.0000 0.4721 0.5284  3.50
In 0.5000 0.2500 0.2500  -0.14
Se 0.5000 0.7500 0.7500  -0.17

*C*
DFT (PBE-GGA) results for crystalline Cr2InSe at its relaxed geometry.

* magnetization: 1.938 μB/atom
* DOS(E_F): 0.707 states/eV/atom

Lattice parameters (Å, degrees): 5.6831 5.6831 5.6831 139.69 139.69 58.33
Each line ends with the local moment (μB).
Fractional coordinates of all 4 atoms:
Cr 0.0000 0.0000 0.0000  3.50
Cr 0.2500 0.7500 0.5000  3.65
In 0.5000 0.5000 0.0000  -0.06
Se 0.7500 0.2500 0.5000  -0.06

*D*
DFT (PBE-GGA) results for crystalline Cr2InSe at its relaxed geometry.

* magnetization: 2.080 μB/atom
* DOS(E_F): 1.213 states/eV/atom

Lattice parameters (Å, degrees): 4.7751 4.7751 4.7751 60.00 60.00 60.00
Each line ends with the local moment (μB).
Fractional coordinates of all 4 atoms:
Cr 0.2500 0.2500 0.2500  3.72
Cr 0.7500 0.7500 0.7500  3.72
Se 0.0000 0.0000 0.0000  0.01
In 0.5000 0.5000 0.5000  -0.04

It comes down to *B*, which is 0.097 eV/atom more stable than the next structure.

*A*
DFT (PBE-GGA) results for crystalline Cr2InSe at its relaxed geometry.

* magnetization: 1.524 μB/atom
* DOS(E_F): 0.733 states/eV/atom

Lattice parameters (Å, degrees): 4.6860 3.2467 5.2309 72.04 90.00 90.00
Each line ends with the local moment (μB).
Fractional coordinates of all 4 atoms:
Cr 0.0000 0.8340 0.9589  2.79
Cr 0.5000 0.2024 0.2213  3.17
In 0.0000 0.5672 0.4873  -0.10
Se 0.5000 0.8964 0.8326  -0.16

*B*
DFT (PBE-GGA) results for crystalline Cr2InSe at its relaxed geometry.

* magnetization: 1.187 μB/atom
* DOS(E_F): 0.753 states/eV/atom

Lattice parameters (Å, degrees): 7.1776 7.1776 7.1776 153.06 154.62 37.35
Each line ends with the local moment (μB).
Fractional coordinates of all 4 atoms:
Cr 0.0763 0.0763 0.0000  2.59
Cr 0.7708 0.2708 0.5000  2.15
In 0.4458 0.4458 0.0000  -0.10
Se 0.2071 0.7071 0.5000  -0.12

*C*
DFT (PBE-GGA) results for crystalline Cr2InSe at its relaxed geometry.

* magnetization: 1.879 μB/atom
* DOS(E_F): 0.673 states/eV/atom

Lattice parameters (Å, degrees): 7.9554 7.9554 7.9554 24.95 24.95 24.95
Each line ends with the local moment (μB).
Fractional coordinates of all 4 atoms:
Cr 0.0102 0.0102 0.0102  3.53
Cr 0.4898 0.4898 0.4898  3.53
In 0.2500 0.2500 0.2500  -0.08
Se 0.7500 0.7500 0.7500  -0.11

It comes down to *C*, which is 0.058 eV/atom more stable than the next structure.

*A*
DFT (PBE-GGA) results for crystalline Cr2InSe at its relaxed geometry.

* magnetization: 1.943 μB/atom
* DOS(E_F): 0.819 states/eV/atom

Lattice parameters (Å, degrees): 7.2958 7.2958 6.0349 52.81 52.81 90.00
Each line ends with the local moment (μB).
Fractional coordinates of all 8 atoms:
Cr 0.5884 0.1250 0.2500  3.56
Cr 0.1616 0.6250 0.2500  3.57
Cr 0.3750 0.4116 0.7500  3.59
Cr 0.8750 0.8384 0.7500  3.59
Se 0.5000 0.5000 0.0000  -0.07
Se 0.2500 0.7500 0.5000  -0.07
In 0.0000 0.0000 0.0000  -0.07
In 0.7500 0.2500 0.5000  -0.07

*B*
DFT (PBE-GGA) results for crystalline Cr2InSe at its relaxed geometry.

* magnetization: 2.133 μB/atom
* DOS(E_F): 1.031 states/eV/atom

Lattice parameters (Å, degrees): 5.0793 5.0793 5.0793 128.62 128.62 75.63
Each line ends with the local moment (μB).
Fractional coordinates of all 4 atoms:
Cr 0.0000 0.0000 0.0000  3.79
Cr 0.5000 0.5000 0.0000  3.79
In 0.2500 0.7500 0.5000  -0.05
Se 0.7500 0.2500 0.5000  -0.01

*C*
DFT (PBE-GGA) results for crystalline Cr2InSe at its relaxed geometry.

* magnetization: 1.917 μB/atom
* DOS(E_F): 0.659 states/eV/atom

Lattice parameters (Å, degrees): 4.8184 4.8184 3.2721 90.01 90.01 99.46
Each line ends with the local moment (μB).
Fractional coordinates of all 4 atoms:
Cr 0.0000 0.0000 0.0000  3.58
Cr 0.5000 0.5000 0.0000  3.58
In 0.5000 0.0000 0.5000  -0.10
Se 0.0000 0.5000 0.5000  -0.14

It comes down to *C*, which is 0.042 eV/atom more stable than the next structure.

*A*
DFT (PBE-GGA) results for crystalline Cr2InSe at its relaxed geometry.

* magnetization: 1.985 μB/atom
* DOS(E_F): 0.727 states/eV/atom

Lattice parameters (Å, degrees): 4.6747 4.6682 3.4644 90.00 90.00 90.00
Each line ends with the local moment (μB).
Fractional coordinates of all 4 atoms:
Cr 0.0000 0.0000 0.0000  3.65
Cr 0.5000 0.5000 0.0000  3.65
In 0.5000 0.0000 0.5000  -0.08
Se 0.0000 0.5000 0.5000  -0.09

*B*
DFT (PBE-GGA) results for crystalline Cr2InSe at its relaxed geometry.

* magnetization: 0.206 μB/atom
* DOS(E_F): 0.791 states/eV/atom

Lattice parameters (Å, degrees): 8.5522 8.5522 8.5522 21.65 21.65 21.65
Each line ends with the local moment (μB).
Fractional coordinates of all 4 atoms:
Cr 0.9994 0.9994 0.9994  -2.33
Cr 0.7380 0.7380 0.7380  2.96
In 0.4939 0.4939 0.4939  -0.06
Se 0.2686 0.2686 0.2686  0.18

It comes down to *B*, which is 0.137 eV/atom more stable than the next structure.

*A*
DFT (PBE-GGA) results for crystalline Cr2InSe at its relaxed geometry.

* magnetization: 0.056 μB/atom
* DOS(E_F): 0.703 states/eV/atom

Lattice parameters (Å, degrees): 4.7553 4.7553 4.7553 60.00 60.00 60.00
Each line ends with the local moment (μB).
Fractional coordinates of all 4 atoms:
Cr 0.0000 0.0000 0.0000  -3.47
Cr 0.7500 0.7500 0.7500  3.57
In 0.5000 0.5000 0.5000  0.00
Se 0.2500 0.2500 0.2500  0.08

*B*
DFT (PBE-GGA) results for crystalline Cr2InSe at its relaxed geometry.

* magnetization: 0.283 μB/atom
* DOS(E_F): 0.586 states/eV/atom

Lattice parameters (Å, degrees): 3.0460 3.0460 7.4902 90.00 90.00 90.00
Each line ends with the local moment (μB).
Fractional coordinates of all 4 atoms:
Cr 0.0000 0.0000 0.0138  -0.98
Cr 0.5000 0.5000 0.2021  1.95
In 0.0000 0.0000 0.4433  -0.04
Se 0.5000 0.5000 0.8408  0.09

It comes down to *B*, which is 0.349 eV/atom more stable than the next structure.

*A*
DFT (PBE-GGA) results for crystalline Cr2InSi2 at its relaxed geometry.

* magnetization: 0.304 μB/atom
* DOS(E_F): 0.539 states/eV/atom

Lattice parameters (Å, degrees): 7.2172 7.2172 2.7052 90.00 90.00 90.00
Each line ends with the local moment (μB).
Fractional coordinates of all 10 atoms:
Cr 0.1568 0.6568 0.5000  0.83
Cr 0.6568 0.8432 0.5000  0.79
Cr 0.8432 0.3432 0.5000  0.83
Cr 0.3432 0.1568 0.5000  0.79
Si 0.3671 0.8671 0.0000  -0.04
Si 0.8671 0.6329 0.0000  -0.04
Si 0.6329 0.1329 0.0000  -0.04
Si 0.1329 0.3671 0.0000  -0.04
In 0.0000 0.0000 0.0000  -0.04
In 0.5000 0.5000 0.0000  -0.04

*B*
DFT (PBE-GGA) results for crystalline Cr2InSi2 at its relaxed geometry.

* magnetization: 0.885 μB/atom
* DOS(E_F): 0.717 states/eV/atom

Lattice parameters (Å, degrees): 5.5914 5.5914 5.5914 136.15 136.15 63.75
Each line ends with the local moment (μB).
Fractional coordinates of all 5 atoms:
Cr 0.2500 0.7500 0.5000  2.17
Cr 0.7500 0.2500 0.5000  2.17
In 0.0000 0.0000 0.0000  -0.05
Si 0.6232 0.6232 0.0000  -0.08
Si 0.3768 0.3768 0.0000  -0.08

*C*
DFT (PBE-GGA) results for crystalline Cr2InSi2 at its relaxed geometry.

* magnetization: 0.517 μB/atom
* DOS(E_F): 0.818 states/eV/atom

Lattice parameters (Å, degrees): 3.4391 3.4391 6.7856 75.32 75.32 90.00
Each line ends with the local moment (μB).
Fractional coordinates of all 5 atoms:
Cr 0.3872 0.3872 0.2256  1.34
Cr 0.6128 0.6128 0.7744  1.34
Si 0.7500 0.2500 0.5000  -0.06
Si 0.2500 0.7500 0.5000  -0.06
In 0.0000 0.0000 0.0000  -0.05

It comes down to *C*, which is 0.055 eV/atom more stable than the next structure.